# 1
First-principles (PBE) data for crystalline LaTlCo2Rh at its relaxed geometry, as listed in Alexandria.

Calculated values
N(E_F) in states/eV per atom: 1.0222
E in hartree per atom: -0.155
E_form in eV/atom: 1.556

a = 4.421 Å, b = 4.421 Å, c = 5.999 Å
α = 90.00°, β = 90.00°, γ = 90.00°
Space group P4/mmm (No. 123)
Symmetry-distinct sites (fractional):
La: 0.000 0.000 0.000
Tl: 0.000 0.000 0.500
Co: 0.000 0.500 0.000
Rh: 0.500 0.500 0.500


# 2
First-principles (PBE) data for crystalline LaCoRu2 at its relaxed geometry, as listed in Alexandria.

Calculated values
N(E_F) in states/eV per atom: 1.4875
E in hartree per atom: -0.257
E_form in eV/atom: 0.646
Distance to the lowest polymorph of the same formula in eV per atom: 0.605

a = 2.8707 Å, b = 2.8707 Å, c = 27.9746 Å
α = 90.00°, β = 90.00°, γ = 120.00°
Space group R-3m (No. 166, hexagonal axes)
Symmetry-distinct sites (fractional):
La: 0.0000 0.0000 0.0000
Co: 0.0000 0.0000 0.5000
Ru: 0.0000 0.0000 0.2363


# 3
First-principles (PBE) data for crystalline LaCoRu3 at its relaxed geometry, as listed in Alexandria.

Calculated values
N(E_F) in states/eV per atom: 3.2402
E in hartree per atom: -0.209
E_form in eV/atom: 2.285
Distance to the lowest polymorph of the same formula in eV per atom: 1.672

a = 4.740 Å, b = 4.740 Å, c = 4.740 Å
α = 90.00°, β = 90.00°, γ = 90.00°
Space group Pm-3m (No. 221)
Symmetry-distinct sites (fractional):
La: 0.000 0.000 0.000
Co: 0.500 0.500 0.500
Ru: 0.000 0.000 0.500


# 4
First-principles (PBE) data for crystalline La6Co2Ru at its relaxed geometry, as listed in Alexandria.

Calculated values
N(E_F) in states/eV per atom: 0.9810
E in hartree per atom: -0.221
E_form in eV/atom: -0.125

a = 12.826 Å, b = 3.941 Å, c = 10.367 Å
α = 90.00°, β = 90.21°, γ = 90.00°
Space group C2/m (No. 12)
Symmetry-distinct sites (fractional):
La: 0.097 0.000 0.252
La: 0.140 0.500 0.590
La: 0.144 0.500 0.936
Co: 0.249 0.500 0.195
Ru: 0.000 0.000 0.500